Ba3MgRh2O6 (PBE, optimized geometry); E_form (uncorrected) = -1604 meV/atom; space-group type = P-3m1, No. 164; crystal system = trigonal; DOS(E_F) = 0.656 states/eV per atom
1.0
5.990 0.000 0.000
-2.995 5.187 0.000
0.000 0.000 6.859
Ba Mg Rh O
3 1 2 6
Cartesian
0.000 0.000 0.000
0.000 3.458 4.485
2.995 1.729 2.374
0.000 0.000 3.430
0.000 3.458 1.312
2.995 1.729 5.548
0.000 1.679 2.139
-1.541 4.348 2.139
1.454 0.839 4.721
1.541 4.348 2.139
4.536 0.839 4.721
2.995 3.508 4.721